1.
Material: CsRb2GaBr6
Method: DFT, PBE
State: relaxed

Structure (CIF):
```
data_CsRb2GaBr6
_cell_length_a 8.392
_cell_length_b 8.392
_cell_length_c 8.392
_cell_angle_alpha 60.00
_cell_angle_beta 60.00
_cell_angle_gamma 60.00
_symmetry_space_group_name_H-M 'P 1'
_symmetry_Int_Tables_number 1
_symmetry_space_group_name_Hall 'P 1'
loop_
_atom_site_label
_atom_site_fract_x
_atom_site_fract_y
_atom_site_fract_z
Cs1 0.000 0.000 0.000
Rb1 0.250 0.250 0.250
Rb2 0.750 0.750 0.750
Ga1 0.500 0.500 0.500
Br1 0.284 0.284 0.716
Br2 0.284 0.716 0.284
Br3 0.284 0.716 0.716
Br4 0.716 0.284 0.284
Br5 0.716 0.284 0.716
Br6 0.716 0.716 0.284
```

Computed properties:
formation energy from raw total energies: -125 kJ per mole of atoms
symmetry: Fm-3m

2.
Material: Zr4CuRh3
Method: DFT, PBE
State: relaxed

Structure (CIF):
```
data_Zr4CuRh3
_cell_length_a 3.319
_cell_length_b 4.639
_cell_length_c 9.326
_cell_angle_alpha 90.00
_cell_angle_beta 90.00
_cell_angle_gamma 90.00
_symmetry_space_group_name_H-M 'P 1'
_symmetry_Int_Tables_number 1
_symmetry_space_group_name_Hall 'P 1'
loop_
_atom_site_label
_atom_site_fract_x
_atom_site_fract_y
_atom_site_fract_z
Zr1 0.000 0.000 0.000
Zr2 0.000 0.000 0.500
Zr3 0.000 0.500 0.248
Zr4 0.000 0.500 0.752
Cu1 0.500 0.500 0.000
Rh1 0.500 0.000 0.253
Rh2 0.500 0.000 0.747
Rh3 0.500 0.500 0.500
```

Computed properties:
formation enthalpy at 0 K: -611 meV/atom
symmetry: Pmmm

3.
Material: NdSm12Dy7
Method: DFT, PBE
State: relaxed

Structure (CIF):
```
data_NdSm12Dy7
_cell_length_a 9.383
_cell_length_b 9.383
_cell_length_c 9.383
_cell_angle_alpha 107.82
_cell_angle_beta 107.82
_cell_angle_gamma 107.82
_symmetry_space_group_name_H-M 'P 1'
_symmetry_Int_Tables_number 1
_symmetry_space_group_name_Hall 'P 1'
loop_
_atom_site_label
_atom_site_fract_x
_atom_site_fract_y
_atom_site_fract_z
Nd1 0.000 0.000 0.000
Sm1 0.049 0.298 0.408
Sm2 0.224 0.670 0.376
Sm3 0.298 0.408 0.049
Sm4 0.330 0.624 0.776
Sm5 0.376 0.224 0.670
Sm6 0.408 0.049 0.298
Sm7 0.592 0.951 0.702
Sm8 0.624 0.776 0.330
Sm9 0.670 0.376 0.224
Sm10 0.702 0.592 0.951
Sm11 0.776 0.330 0.624
Sm12 0.951 0.702 0.592
Dy1 0.009 0.895 0.321
Dy2 0.105 0.679 0.991
Dy3 0.321 0.009 0.895
Dy4 0.500 0.500 0.500
Dy5 0.679 0.991 0.105
Dy6 0.895 0.321 0.009
Dy7 0.991 0.105 0.679
```

Computed properties:
formation enthalpy at 0 K: 162 meV/atom
symmetry: R-3
energy relative to the lowest polymorph listed for this composition: 0.000 eV/atom

4.
Material: SrLaRe2
Method: DFT, PBE
State: relaxed

Structure (CIF):
```
data_SrLaRe2
_cell_length_a 4.036
_cell_length_b 4.036
_cell_length_c 6.772
_cell_angle_alpha 90.00
_cell_angle_beta 90.00
_cell_angle_gamma 90.00
_symmetry_space_group_name_H-M 'P 1'
_symmetry_Int_Tables_number 1
_symmetry_space_group_name_Hall 'P 1'
loop_
_atom_site_label
_atom_site_fract_x
_atom_site_fract_y
_atom_site_fract_z
Sr1 0.000 0.000 0.000
La1 0.000 0.000 0.500
Re1 0.500 0.500 0.330
Re2 0.500 0.500 0.670
```

Computed properties:
formation enthalpy at 0 K: 855 meV/atom
symmetry: P4/mmm
energy relative to the lowest polymorph listed for this composition: 0.630 eV/atom

5.
Material: Hf5Zn2Pd12
Method: DFT, PBE
State: relaxed

Structure (CIF):
```
data_Hf5Zn2Pd12
_cell_length_a 8.166
_cell_length_b 8.166
_cell_length_c 9.098
_cell_angle_alpha 109.00
_cell_angle_beta 109.00
_cell_angle_gamma 38.69
_symmetry_space_group_name_H-M 'P 1'
_symmetry_Int_Tables_number 1
_symmetry_space_group_name_Hall 'P 1'
loop_
_atom_site_label
_atom_site_fract_x
_atom_site_fract_y
_atom_site_fract_z
Hf1 0.000 0.000 0.000
Hf2 0.327 0.327 0.158
Hf3 0.354 0.354 0.648
Hf4 0.646 0.646 0.352
Hf5 0.673 0.673 0.842
Zn1 0.248 0.752 0.500
Zn2 0.752 0.248 0.500
Pd1 0.051 0.569 0.395
Pd2 0.085 0.587 0.901
Pd3 0.091 0.091 0.782
Pd4 0.413 0.915 0.099
Pd5 0.431 0.949 0.605
Pd6 0.490 0.490 0.139
Pd7 0.510 0.510 0.861
Pd8 0.569 0.051 0.395
Pd9 0.587 0.085 0.901
Pd10 0.909 0.909 0.218
Pd11 0.915 0.413 0.099
Pd12 0.949 0.431 0.605
```

Computed properties:
formation enthalpy at 0 K: -430 meV/atom
symmetry: C2/m

6.
Material: Li3Tb3PtO8
Method: DFT, PBE
State: relaxed

Structure (CIF):
```
data_Li3Tb3PtO8
_cell_length_a 6.295
_cell_length_b 6.295
_cell_length_c 6.295
_cell_angle_alpha 64.01
_cell_angle_beta 64.01
_cell_angle_gamma 64.01
_symmetry_space_group_name_H-M 'P 1'
_symmetry_Int_Tables_number 1
_symmetry_space_group_name_Hall 'P 1'
loop_
_atom_site_label
_atom_site_fract_x
_atom_site_fract_y
_atom_site_fract_z
Li1 0.000 0.500 0.500
Li2 0.500 0.000 0.500
Li3 0.500 0.500 0.000
Tb1 0.000 0.000 0.500
Tb2 0.000 0.500 0.000
Tb3 0.500 0.000 0.000
Pt1 0.500 0.500 0.500
O1 0.244 0.244 0.244
O2 0.271 0.271 0.725
O3 0.271 0.725 0.271
O4 0.275 0.729 0.729
O5 0.725 0.271 0.271
O6 0.729 0.275 0.729
O7 0.729 0.729 0.275
O8 0.756 0.756 0.756
```

Computed properties:
formation energy from raw total energies: -229 kJ per mole of atoms
symmetry: R-3m

no.,total magnetic moment (Bohr magnetons per cell)
1,0.000
2,0.000
3,0.000
4,0.000
5,0.000
6,0.000